[1]
DFT (meta-GGA SCAN) results for a PBEsol-optimized structure of BaSi2Os.

Cell and atoms, written as POSCAR:
```
BaSi2Os
1.0
-3.4196 0.8405 -2.1087
-1.7468 -2.9017 -2.3185
-4.9738 -2.3980 3.1155
Si Os Ba
2 1 1
Direct
0.7003 0.7003 0.8991 Si
0.2997 0.2997 0.1009 Si
0.0000 0.0000 0.0000 Os
0.5000 0.5000 0.5000 Ba
```

Calculated values
Calculated total energy = -33.268 eV per atom
SG = R-3m, No. 166
Total magnetization = 0.00 μB per formula unit

---

[2]
DFT (meta-GGA SCAN) results for a PBEsol-optimized structure of Be2ZnW.

Cell and atoms, written as POSCAR:
```
Be2ZnW
1.0
-2.0059 1.4665 -1.0553
0.5834 -0.9666 -2.4522
-3.9397 -4.7235 0.9246
Zn Be W
1 2 1
Direct
0.5000 0.5000 0.5000 Zn
0.0000 0.0000 0.7272 Be
0.0000 0.0000 0.2728 Be
0.5000 0.5000 0.0000 W
```

Calculated values
Energy of formation from the pure elements = 0.116 eV/atom
Calculated total energy = -22.862 eV per atom
SG = P4/mmm, No. 123
Total magnetization = 0.00 μB per formula unit

---

[3]
DFT (meta-GGA SCAN) results for a PBEsol-optimized structure of AsRu3W.

Cell and atoms, written as POSCAR:
```
AsRu3W
1.0
4.3814 0.0000 0.0000
0.0000 4.3814 0.0000
0.0000 0.0000 4.3814
Ru W As
3 1 1
Direct
0.0000 0.5000 0.0000 Ru
0.5000 0.0000 0.0000 Ru
0.0000 0.0000 0.5000 Ru
0.5000 0.5000 0.5000 W
0.0000 0.0000 0.0000 As
```

Calculated values
Energy of formation from the pure elements = 1.343 eV/atom
Calculated total energy = -37.528 eV per atom
SG = Pm-3m, No. 221
Total magnetization = 2.09 μB per formula unit

---

[4]
DFT (meta-GGA SCAN) results for a PBEsol-optimized structure of CePr3.

Cell and atoms, written as POSCAR:
```
CePr3
1.0
5.0296 0.0000 0.0000
0.0000 5.0296 0.0000
-2.5148 -2.5148 5.0682
Pr Ce
3 1
Direct
0.5000 0.5000 0.0000 Pr
0.7500 0.2500 0.5000 Pr
0.2500 0.7500 0.5000 Pr
0.0000 0.0000 0.0000 Ce
```

Calculated values
Energy of formation from the pure elements = 0.073 eV/atom
Calculated total energy = -43.562 eV per atom
SG = I4/mmm, No. 139
Total magnetization = 1.67 μB per formula unit

---

[5]
DFT (meta-GGA SCAN) results for a PBEsol-optimized structure of Li2SF.

Cell and atoms, written as POSCAR:
```
Li2SF
1.0
-2.3704 -0.4696 -4.6868
-1.8098 -3.0285 3.9190
-0.6591 4.5528 2.5774
Li F S
4 2 2
Direct
0.4033 0.8750 0.7783 Li
0.9033 0.5283 0.1250 Li
0.5967 0.3750 0.4717 Li
0.0967 0.2217 0.6250 Li
0.5000 0.2500 0.7500 F
0.0000 0.5000 0.5000 F
0.0000 0.0000 0.0000 S
0.5000 0.7500 0.2500 S
```

Calculated values
Calculated total energy = -6.306 eV per atom
SG = I-42d, No. 122
Total magnetization = 1.00 μB per formula unit

---

[6]
DFT (meta-GGA SCAN) results for a PBEsol-optimized structure of NaLi2La.

Cell and atoms, written as POSCAR:
```
NaLi2La
1.0
5.4234 0.0000 0.0000
2.7117 4.6968 0.0000
2.7117 1.5656 4.4282
Li Na La
2 1 1
Direct
0.2500 0.2500 0.2500 Li
0.7500 0.7500 0.7500 Li
0.0000 0.0000 0.0000 Na
0.5000 0.5000 0.5000 La
```

Calculated values
Energy of formation from the pure elements = 0.234 eV/atom
Calculated total energy = -12.791 eV per atom
SG = Fm-3m, No. 225
Total magnetization = 0.00 μB per formula unit

---

[7]
DFT (meta-GGA SCAN) results for a PBEsol-optimized structure of CaOs2Au.

Cell and atoms, written as POSCAR:
```
CaOs2Au
1.0
2.8839 0.0000 0.0000
0.0000 4.5877 0.0000
-1.4420 -2.2939 5.1261
Au Ca Os
1 1 2
Direct
0.0000 0.5000 0.0000 Au
0.5000 0.0000 0.0000 Ca
0.7247 0.7247 0.4495 Os
0.2753 0.2753 0.5505 Os
```

Calculated values
Energy of formation from the pure elements = 0.443 eV/atom
Relative energy among the computed polymorphs = 0.00 kJ/mol of atoms
Calculated total energy = -55.202 eV per atom
SG = Immm, No. 71
Total magnetization = 0.00 μB per formula unit

---

[8]
DFT (meta-GGA SCAN) results for a PBEsol-optimized structure of SiWBr2.

Cell and atoms, written as POSCAR:
```
SiWBr2
1.0
4.2954 0.0000 0.0000
-2.1477 4.3706 -0.0019
0.0000 -2.1091 3.7420
W Si Br
1 1 2
Direct
0.2500 0.5000 0.7500 W
0.5000 0.0000 0.5000 Si
0.7500 0.5000 0.2500 Br
0.0000 0.0000 0.0000 Br
```

Calculated values
Relative energy among the computed polymorphs = 114.56 kJ/mol of atoms
Calculated total energy = -28.232 eV per atom
SG = I-4m2, No. 119
Total magnetization = 0.00 μB per formula unit

---

[9]
DFT (meta-GGA SCAN) results for a PBEsol-optimized structure of BeAu3O.

Cell and atoms, written as POSCAR:
```
BeAu3O
1.0
-2.0469 -1.6426 -3.3622
3.5894 -1.9452 -1.2349
-1.0577 -3.4221 2.3158
Be Au O
1 3 1
Direct
0.0000 0.0000 0.0000 Be
0.0000 0.0000 0.5000 Au
0.0000 0.5000 0.0000 Au
0.5000 0.0000 0.0000 Au
0.5000 0.5000 0.5000 O
```

Calculated values
Calculated total energy = -43.002 eV per atom
SG = Pm-3m, No. 221
Total magnetization = 1.05 μB per formula unit

---

[10]
DFT (meta-GGA SCAN) results for a PBEsol-optimized structure of MgBeAg2.

Cell and atoms, written as POSCAR:
```
MgBeAg2
1.0
-0.7603 0.6247 2.7428
-4.0703 0.2946 -1.1954
-0.2452 -5.1683 -0.4389
Be Mg Ag
1 1 2
Direct
0.1896 0.0000 0.3793 Be
0.5649 0.5000 0.1298 Mg
0.9243 0.0000 0.8485 Ag
0.2957 0.5000 0.5914 Ag
```

Calculated values
Energy of formation from the pure elements = 0.044 eV/atom
Relative energy among the computed polymorphs = 0.00 kJ/mol of atoms
Calculated total energy = -17.972 eV per atom
SG = Amm2, No. 38
Total magnetization = 0.00 μB per formula unit

---

[11]
DFT (meta-GGA SCAN) results for a PBEsol-optimized structure of BeAlW2.

Cell and atoms, written as POSCAR:
```
BeAlW2
1.0
3.7367 0.0000 0.0000
0.0000 3.7367 0.0000
0.0000 0.0000 3.9904
W Al Be
2 1 1
Direct
0.5000 0.0000 0.0000 W
0.0000 0.5000 0.0000 W
0.5000 0.5000 0.5000 Al
0.0000 0.0000 0.5000 Be
```

Calculated values
Energy of formation from the pure elements = 0.164 eV/atom
Calculated total energy = -37.706 eV per atom
SG = P4/mmm, No. 123
Total magnetization = 0.00 μB per formula unit

---

[12]
DFT (meta-GGA SCAN) results for a PBEsol-optimized structure of Ga3PtI.

Cell and atoms, written as POSCAR:
```
Ga3PtI
1.0
4.8778 0.0000 0.0000
0.0000 4.8778 0.0000
0.0000 0.0000 4.8778
Pt Ga I
1 3 1
Direct
0.0000 0.0000 0.0000 Pt
0.0000 0.5000 0.0000 Ga
0.0000 0.0000 0.5000 Ga
0.5000 0.0000 0.0000 Ga
0.5000 0.5000 0.5000 I
```

Calculated values
Calculated total energy = -31.731 eV per atom
SG = Pm-3m, No. 221
Total magnetization = 0.00 μB per formula unit